## KRbBiF6 (PBE-GGA)

Data for a relaxed KRbBiF6 crystal.

## Properties
Uncorrected formation energy (meV/atom): -2473
DOS(E_F) (states/eV/f.u.): 2.37
Total magnetization (μB per cell): 2.09

Geometry as CIF:
```
data_KRbBiF6
_space_group_name_H-M_alt 'P -3 1 c'
_space_group_IT_number 163
_space_group_name_Hall '-P 3 2c'
_cell_length_a 6.7110
_cell_length_b 6.7110
_cell_length_c 10.2374
_cell_angle_alpha 90.00
_cell_angle_beta 90.00
_cell_angle_gamma 120.00
loop_
_atom_site_label
_atom_site_type_symbol
_atom_site_fract_x
_atom_site_fract_y
_atom_site_fract_z
K1 K 0.3333 0.6667 0.2500
Rb1 Rb 0.0000 0.0000 0.0000
Bi1 Bi 0.3333 0.6667 0.7500
F1 F 0.0589 0.3968 0.6353
```


## TaSbP2 (PBE-GGA)

Data for a relaxed TaSbP2 crystal.

## Properties
Uncorrected formation energy (meV/atom): 142
DOS(E_F) (states/eV/f.u.): 1.95
Total magnetization (μB per cell): 0.00

Geometry as CIF:
```
data_TaSbP2
_space_group_name_H-M_alt 'P 1 2/m 1'
_space_group_IT_number 10
_space_group_name_Hall '-P 2y'
_cell_length_a 3.585
_cell_length_b 4.678
_cell_length_c 4.894
_cell_angle_alpha 90.00
_cell_angle_beta 99.93
_cell_angle_gamma 90.00
loop_
_atom_site_label
_atom_site_type_symbol
_atom_site_fract_x
_atom_site_fract_y
_atom_site_fract_z
Ta1 Ta 0.000 0.000 0.000
Sb1 Sb 0.500 0.000 0.500
P1 P 0.215 0.500 0.856
```


## La2PmOs (PBE-GGA)

Data for a relaxed La2PmOs crystal.

## Properties
Offset from the most stable computed form (meV/atom): 197
DOS(E_F) (states/eV/f.u.): 3.70
E_form (eV/atom): 0.056
Total magnetization (μB per cell): 0.00

Geometry as CIF:
```
data_La2PmOs
_space_group_name_H-M_alt 'P 4/m m m'
_space_group_IT_number 123
_space_group_name_Hall '-P 4 2'
_cell_length_a 3.532
_cell_length_b 3.532
_cell_length_c 9.899
_cell_angle_alpha 90.00
_cell_angle_beta 90.00
_cell_angle_gamma 90.00
loop_
_atom_site_label
_atom_site_type_symbol
_atom_site_fract_x
_atom_site_fract_y
_atom_site_fract_z
La1 La 0.000 0.000 0.176
Pm1 Pm 0.500 0.500 0.500
Os1 Os 0.500 0.500 0.000
```


## K3UF6 (PBE-GGA)

Data for a relaxed K3UF6 crystal.

## Properties
Uncorrected formation energy (meV/atom): -2969
DOS(E_F) (states/eV/f.u.): 7.92
Total magnetization (μB per cell): 10.52

Geometry as CIF:
```
data_K3UF6
_space_group_name_H-M_alt 'F m m m'
_space_group_IT_number 69
_space_group_name_Hall '-F 2 2'
_cell_length_a 8.233
_cell_length_b 9.439
_cell_length_c 11.794
_cell_angle_alpha 90.00
_cell_angle_beta 90.00
_cell_angle_gamma 90.00
loop_
_atom_site_label
_atom_site_type_symbol
_atom_site_fract_x
_atom_site_fract_y
_atom_site_fract_z
K1 K 0.000 0.000 0.000
K2 K 0.250 0.250 0.250
U1 U 0.000 0.000 0.500
F1 F 0.000 0.236 0.500
F2 F 0.208 0.000 0.372
```


## ScGa2Ge (PBE-GGA)

Data for a relaxed ScGa2Ge crystal.

## Properties
DOS(E_F) (states/eV/f.u.): 2.06
E_form (eV/atom): -0.258
Total magnetization (μB per cell): 0.00

Geometry as CIF:
```
data_ScGa2Ge
_space_group_name_H-M_alt 'I -4 2 d'
_space_group_IT_number 122
_space_group_name_Hall 'I -4 2bw'
_cell_length_a 7.552
_cell_length_b 7.552
_cell_length_c 5.492
_cell_angle_alpha 90.00
_cell_angle_beta 90.00
_cell_angle_gamma 90.00
loop_
_atom_site_label
_atom_site_type_symbol
_atom_site_fract_x
_atom_site_fract_y
_atom_site_fract_z
Sc1 Sc 0.000 0.000 0.000
Ga1 Ga 0.215 0.750 0.625
Ge1 Ge 0.000 0.000 0.500
```


## PuPaGaRu (PBE-GGA)

Data for a relaxed PuPaGaRu crystal.

## Properties
DOS(E_F) (states/eV/f.u.): 6.10
E_form (eV/atom): -0.339
Total magnetization (μB per cell): 24.06

Geometry as CIF:
```
data_PuPaGaRu
_space_group_name_H-M_alt 'F -4 3 m'
_space_group_IT_number 216
_space_group_name_Hall 'F -4 2 3'
_cell_length_a 6.741
_cell_length_b 6.741
_cell_length_c 6.741
_cell_angle_alpha 90.00
_cell_angle_beta 90.00
_cell_angle_gamma 90.00
loop_
_atom_site_label
_atom_site_type_symbol
_atom_site_fract_x
_atom_site_fract_y
_atom_site_fract_z
Pu1 Pu 0.000 0.000 0.000
Pa1 Pa 0.250 0.250 0.250
Ga1 Ga 0.250 0.250 0.750
Ru1 Ru 0.000 0.000 0.500
```


> What is the formula in the third record?

La2PmOs


> Which of these has the highest DOS(E_F)?

K3UF6


> What is the DOS(E_F) in the sixth record?

6.10 states/eV/f.u.